A plane-wave DFT calculation with PBE was carried out for crystalline TiSbCI2 at its relaxed geometry.

excess energy over the best structure of this formula in the dataset: 1.97 kcal/mol of atoms
space-group type: No. 123
formation energy from raw total energies: 1.335 eV/atom
D(E_F): 1.391 states/eV/atom

abc: 5.3843 5.3843 5.4672
angles: 90.00 90.00 90.00
Closest atoms and distances in Å follow each position.
Fractional coordinates of all 5 atoms:
C 0.5000 0.5000 0.5000  4 Sb 3.81, 8 I 3.84
I 0.5000 0.0000 0.0000  2 Ti 2.69
I 0.0000 0.5000 0.0000  2 Ti 2.69
Sb 0.0000 0.0000 0.5000  2 Ti 2.73
Ti 0.0000 0.0000 0.0000  4 I 2.69, 2 Sb 2.73

A plane-wave DFT calculation with PBE was carried out for crystalline VSbCI2 at its relaxed geometry.

excess energy over the best structure of this formula in the dataset: 0.00 kcal/mol of atoms
space-group type: No. 123
formation energy from raw total energies: 1.590 eV/atom
D(E_F): 1.480 states/eV/atom

abc: 4.8842 4.8842 4.7184
angles: 90.00 90.00 90.00
Closest atoms and distances in Å follow each position.
Fractional coordinates of all 5 atoms:
C 0.0000 0.0000 0.0000  2 Sb 2.36, 4 I 2.44
I 0.0000 0.5000 0.0000  2 C 2.44
I 0.5000 0.0000 0.0000  2 C 2.44
Sb 0.0000 0.0000 0.5000  2 C 2.36
V 0.5000 0.5000 0.5000  8 I 3.40, 4 Sb 3.45

A plane-wave DFT calculation with PBE was carried out for crystalline VSbCI2 at its relaxed geometry.

excess energy over the best structure of this formula in the dataset: 0.53 kcal/mol of atoms
space-group type: No. 123
formation energy from raw total energies: 1.614 eV/atom
D(E_F): 1.578 states/eV/atom

abc: 5.3064 5.3064 5.2473
angles: 90.00 90.00 90.00
Closest atoms and distances in Å follow each position.
Fractional coordinates of all 5 atoms:
I 0.5000 0.0000 0.0000  2 V 2.65
I 0.0000 0.5000 0.0000  2 V 2.65
C 0.5000 0.5000 0.5000  8 I 3.73, 4 Sb 3.75
V 0.0000 0.0000 0.0000  2 Sb 2.62, 4 I 2.65
Sb 0.0000 0.0000 0.5000  2 V 2.62

A plane-wave DFT calculation with PBE was carried out for crystalline SbWCI2 at its relaxed geometry.

excess energy over the best structure of this formula in the dataset: 0.47 kcal/mol of atoms
space-group type: No. 123
formation energy from raw total energies: 1.975 eV/atom
D(E_F): 0.959 states/eV/atom

abc: 5.4634 5.4634 5.2931
angles: 90.00 90.00 90.00
Closest atoms and distances in Å follow each position.
Fractional coordinates of all 5 atoms:
C 0.5000 0.5000 0.5000  8 I 3.80, 4 Sb 3.86
Sb 0.0000 0.0000 0.5000  2 W 2.65
I 0.0000 0.5000 0.0000  2 W 2.73
I 0.5000 0.0000 0.0000  2 W 2.73
W 0.0000 0.0000 0.0000  2 Sb 2.65, 4 I 2.73

A plane-wave DFT calculation with PBE was carried out for crystalline SbWCI2 at its relaxed geometry.

excess energy over the best structure of this formula in the dataset: 0.00 kcal/mol of atoms
space-group type: No. 123
formation energy from raw total energies: 1.955 eV/atom
D(E_F): 0.627 states/eV/atom

abc: 4.8502 4.8502 4.7359
angles: 90.00 90.00 90.00
Closest atoms and distances in Å follow each position.
Fractional coordinates of all 5 atoms:
W 0.5000 0.5000 0.5000  8 I 3.39, 4 Sb 3.43
I 0.5000 0.0000 0.0000  2 C 2.43
I 0.0000 0.5000 0.0000  2 C 2.43
C 0.0000 0.0000 0.0000  2 Sb 2.37, 4 I 2.43
Sb 0.0000 0.0000 0.5000  2 C 2.37

A plane-wave DFT calculation with PBE was carried out for crystalline YSb2CI at its relaxed geometry.

excess energy over the best structure of this formula in the dataset: 0.00 kcal/mol of atoms
space-group type: No. 123
formation energy from raw total energies: 0.540 eV/atom
D(E_F): 0.487 states/eV/atom

abc: 4.7981 4.7981 5.1909
angles: 90.00 90.00 90.00
Closest atoms and distances in Å follow each position.
Fractional coordinates of all 5 atoms:
Y 0.5000 0.5000 0.5000  4 I 3.39, 8 Sb 3.53
C 0.0000 0.0000 0.0000  4 Sb 2.40, 2 I 2.60
Sb 0.0000 0.5000 0.0000  2 C 2.40
Sb 0.5000 0.0000 0.0000  2 C 2.40
I 0.0000 0.0000 0.5000  2 C 2.60

A plane-wave DFT calculation with PBE was carried out for crystalline YSb2CI at its relaxed geometry.

excess energy over the best structure of this formula in the dataset: 21.06 kcal/mol of atoms
space-group type: No. 123
formation energy from raw total energies: 1.453 eV/atom
D(E_F): 1.411 states/eV/atom

abc: 5.9287 5.9287 5.8557
angles: 90.00 90.00 90.00
Closest atoms and distances in Å follow each position.
Fractional coordinates of all 5 atoms:
Sb 0.0000 0.5000 0.0000  2 Y 2.96
Sb 0.5000 0.0000 0.0000  2 Y 2.96
C 0.5000 0.5000 0.5000  8 Sb 4.17, 4 I 4.19
Y 0.0000 0.0000 0.0000  2 I 2.93, 4 Sb 2.96
I 0.0000 0.0000 0.5000  2 Y 2.93

A plane-wave DFT calculation with PBE was carried out for crystalline ZnSbCI2 at its relaxed geometry.

excess energy over the best structure of this formula in the dataset: 12.25 kcal/mol of atoms
space-group type: No. 123
formation energy from raw total energies: 1.647 eV/atom
D(E_F): 1.239 states/eV/atom

abc: 5.5752 5.5752 5.2785
angles: 90.00 90.00 90.00
Closest atoms and distances in Å follow each position.
Fractional coordinates of all 5 atoms:
C 0.5000 0.5000 0.5000  8 I 3.84, 4 Sb 3.94
I 0.0000 0.5000 0.0000  2 Zn 2.79
I 0.5000 0.0000 0.0000  2 Zn 2.79
Sb 0.0000 0.0000 0.5000  2 Zn 2.64
Zn 0.0000 0.0000 0.0000  2 Sb 2.64, 4 I 2.79

A plane-wave DFT calculation with PBE was carried out for crystalline ZnSbCI2 at its relaxed geometry.

excess energy over the best structure of this formula in the dataset: 0.00 kcal/mol of atoms
space-group type: No. 123
formation energy from raw total energies: 1.116 eV/atom
D(E_F): 0.471 states/eV/atom

abc: 5.2359 5.2359 4.6975
angles: 90.00 90.00 90.00
Closest atoms and distances in Å follow each position.
Fractional coordinates of all 5 atoms:
Sb 0.0000 0.0000 0.5000  2 C 2.35
I 0.5000 0.0000 0.0000  2 C 2.62
I 0.0000 0.5000 0.0000  2 C 2.62
C 0.0000 0.0000 0.0000  2 Sb 2.35, 4 I 2.62
Zn 0.5000 0.5000 0.5000  8 I 3.52, 4 Sb 3.70

A plane-wave DFT calculation with PBE was carried out for crystalline ZrSb2CI at its relaxed geometry.

excess energy over the best structure of this formula in the dataset: 13.37 kcal/mol of atoms
space-group type: No. 123
formation energy from raw total energies: 1.479 eV/atom
D(E_F): 1.347 states/eV/atom

abc: 5.6081 5.6081 5.6246
angles: 90.00 90.00 90.00
Closest atoms and distances in Å follow each position.
Fractional coordinates of all 5 atoms:
Zr 0.0000 0.0000 0.0000  4 Sb 2.80, 2 I 2.81
I 0.0000 0.0000 0.5000  2 Zr 2.81
Sb 0.5000 0.0000 0.0000  2 Zr 2.80
Sb 0.0000 0.5000 0.0000  2 Zr 2.80
C 0.5000 0.5000 0.5000  4 I 3.97, 8 Sb 3.97

A plane-wave DFT calculation with PBE was carried out for crystalline ZrSb2CI at its relaxed geometry.

excess energy over the best structure of this formula in the dataset: 0.00 kcal/mol of atoms
space-group type: No. 123
formation energy from raw total energies: 0.900 eV/atom
D(E_F): 0.591 states/eV/atom

abc: 4.7392 4.7392 4.9316
angles: 90.00 90.00 90.00
Closest atoms and distances in Å follow each position.
Fractional coordinates of all 5 atoms:
Zr 0.5000 0.5000 0.5000  4 I 3.35, 8 Sb 3.42
Sb 0.5000 0.0000 0.0000  2 C 2.37
Sb 0.0000 0.5000 0.0000  2 C 2.37
I 0.0000 0.0000 0.5000  2 C 2.47
C 0.0000 0.0000 0.0000  4 Sb 2.37, 2 I 2.47

A plane-wave DFT calculation with PBE was carried out for crystalline ScCI3 at its relaxed geometry.

excess energy over the best structure of this formula in the dataset: 3.14 kcal/mol of atoms
space-group type: No. 221
formation energy from raw total energies: 0.842 eV/atom
D(E_F): 0.974 states/eV/atom

abc: 5.0626 5.0626 5.0626
angles: 90.00 90.00 90.00
Closest atoms and distances in Å follow each position.
Fractional coordinates of all 5 atoms:
I 0.5000 0.0000 0.0000  2 C 2.53
I 0.0000 0.0000 0.5000  2 C 2.53
I 0.0000 0.5000 0.0000  2 C 2.53
Sc 0.5000 0.5000 0.5000  12 I 3.58
C 0.0000 0.0000 0.0000  6 I 2.53

A plane-wave DFT calculation with PBE was carried out for crystalline ScCI2 at its relaxed geometry.

excess energy over the best structure of this formula in the dataset: 0.00 kcal/mol of atoms
space-group type: No. 225
formation energy from raw total energies: 1.021 eV/atom
D(E_F): 0.200 states/eV/atom

abc: 5.1595 5.1595 5.1595
angles: 60.00 60.00 60.00
Closest atoms and distances in Å follow each position.
Fractional coordinates of all 4 atoms:
I 0.7500 0.7500 0.7500  4 Sc 3.16, 4 C 3.16
I 0.2500 0.2500 0.2500  4 Sc 3.16, 4 C 3.16
C 0.0000 0.0000 0.0000  8 I 3.16
Sc 0.5000 0.5000 0.5000  8 I 3.16

A plane-wave DFT calculation with PBE was carried out for crystalline Sc3CI at its relaxed geometry.

excess energy over the best structure of this formula in the dataset: 0.00 kcal/mol of atoms
space-group type: No. 221
formation energy from raw total energies: -0.238 eV/atom
D(E_F): 1.217 states/eV/atom

abc: 4.6077 4.6077 4.6077
angles: 90.00 90.00 90.00
Closest atoms and distances in Å follow each position.
Fractional coordinates of all 5 atoms:
I 0.5000 0.5000 0.5000  12 Sc 3.26
Sc 0.5000 0.0000 0.0000  2 C 2.30
Sc 0.0000 0.5000 0.0000  2 C 2.30
Sc 0.0000 0.0000 0.5000  2 C 2.30
C 0.0000 0.0000 0.0000  6 Sc 2.30

A plane-wave DFT calculation with PBE was carried out for crystalline Sc2CI at its relaxed geometry.

space-group type: No. 122
formation energy from raw total energies: -0.388 eV/atom
D(E_F): 0.945 states/eV/atom

abc: 6.0493 6.0493 6.6894
angles: 63.12 63.12 90.00
Closest atoms and distances in Å follow each position.
Fractional coordinates of all 8 atoms:
Sc 0.5145 0.1250 0.2500  2 C 2.16
Sc 0.8750 0.7645 0.7500  2 C 2.16
Sc 0.3750 0.4855 0.7500  2 C 2.16
Sc 0.2355 0.6250 0.2500  2 C 2.16
I 0.7500 0.2500 0.5000  4 Sc 2.95
I 0.0000 0.0000 0.0000  4 Sc 2.95
C 0.5000 0.5000 0.0000  4 Sc 2.16
C 0.2500 0.7500 0.5000  4 Sc 2.16

A plane-wave DFT calculation with PBE was carried out for crystalline ScCI2 at its relaxed geometry.

excess energy over the best structure of this formula in the dataset: 3.42 kcal/mol of atoms
space-group type: No. 122
formation energy from raw total energies: 1.169 eV/atom
D(E_F): 0.938 states/eV/atom

abc: 5.8451 5.8451 8.0387
angles: 68.68 68.68 90.00
Closest atoms and distances in Å follow each position.
Fractional coordinates of all 8 atoms:
Sc 0.0000 0.0000 0.0000  4 I 2.86
Sc 0.7500 0.2500 0.5000  4 I 2.86
I 0.8750 0.8248 0.7500  2 C 2.54
I 0.1752 0.6250 0.2500  2 C 2.54
I 0.3750 0.4252 0.7500  2 C 2.54
I 0.5748 0.1250 0.2500  2 C 2.54
C 0.5000 0.5000 0.0000  4 I 2.54
C 0.2500 0.7500 0.5000  4 I 2.54

A plane-wave DFT calculation with PBE was carried out for crystalline Sc2CI3 at its relaxed geometry.

space-group type: No. 2
formation energy from raw total energies: -1.039 eV/atom

abc: 11.0787 11.3500 14.2862
angles: 108.10 88.21 119.44
Closest atoms and distances in Å follow each position.
Fractional coordinates of all 48 atoms:
I 0.7838 0.3606 0.4992  3 Sc 2.92-3.00
I 0.6528 0.6183 0.2477  3 Sc 2.98-3.13
I 0.9070 0.0598 0.7452  2 Sc 2.88-2.97
I 0.7291 0.1230 0.9937  2 Sc 2.90-2.91
I 0.0930 0.9402 0.2548  2 Sc 2.88-2.97
I 0.1404 0.4139 0.0008  3 Sc 2.94-3.02
I 0.9362 0.4635 0.2504  1 Sc 2.89
I 0.8031 0.0687 0.2488  3 Sc 2.93-3.06
I 0.4944 0.1992 0.2437  2 Sc 2.90-2.96
I 0.3690 0.7317 0.2623  1 Sc 2.78
I 0.3619 0.1079 0.4934  2 Sc 2.90-2.92
I 0.1969 0.9313 0.7512  3 Sc 2.93-3.06
I 0.0638 0.5365 0.7496  1 Sc 2.89
I 0.5056 0.8008 0.7563  2 Sc 2.90-2.96
I 0.6310 0.2683 0.7377  1 Sc 2.78
I 0.9232 0.7667 0.5073  3 Sc 2.96-3.04
I 0.5805 0.7163 0.9943  3 Sc 2.95-3.08
I 0.4195 0.2837 0.0057  3 Sc 2.95-3.08
I 0.6381 0.8921 0.5066  2 Sc 2.90-2.92
I 0.3472 0.3817 0.7523  3 Sc 2.98-3.13
I 0.2162 0.6394 0.5008  3 Sc 2.92-3.00
I 0.0768 0.2333 0.4927  3 Sc 2.96-3.04
I 0.8596 0.5861 0.9992  3 Sc 2.94-3.02
I 0.2709 0.8770 0.0063  2 Sc 2.90-2.91
Sc 0.6621 0.7147 0.6047  3 C 2.34-2.38
Sc 0.5637 0.4097 0.6020  3 C 2.17-2.43
Sc 0.8051 0.9086 0.8925  3 C 2.36-2.38
Sc 0.6630 0.5374 0.8367  2 C 2.22-2.23
Sc 0.0135 0.8081 0.8996  3 C 2.16-2.39
Sc 0.0754 0.3550 0.3368  2 C 2.21-2.24
Sc 0.3041 0.5192 0.6196  1 C 2.07
Sc 0.1487 0.1558 0.8814  1 C 2.04
Sc 0.6959 0.4808 0.3804  1 C 2.07
Sc 0.3370 0.4626 0.1633  2 C 2.22-2.23
Sc 0.8513 0.8442 0.1186  1 C 2.04
Sc 0.1949 0.0914 0.1075  3 C 2.36-2.38
Sc 0.9246 0.6450 0.6632  2 C 2.21-2.24
Sc 0.9865 0.1919 0.1004  3 C 2.16-2.39
Sc 0.3379 0.2853 0.3953  3 C 2.34-2.38
Sc 0.4363 0.5903 0.3980  3 C 2.17-2.43
C 0.0398 0.0412 0.9709  1 C 1.40
C 0.9602 0.9588 0.0291  1 C 1.40
C 0.5510 0.4969 0.4701  1 C 1.41
C 0.2815 0.3849 0.2918  1 C 1.45
C 0.8303 0.7146 0.7918  1 C 1.45
C 0.1697 0.2854 0.2082  1 C 1.45
C 0.7185 0.6151 0.7082  1 C 1.45
C 0.4490 0.5031 0.5299  1 C 1.41

A plane-wave DFT calculation with PBE was carried out for crystalline ScC3I at its relaxed geometry.

excess energy over the best structure of this formula in the dataset: 0.66 kcal/mol of atoms
space-group type: No. 221
formation energy from raw total energies: 2.591 eV/atom
D(E_F): 0.632 states/eV/atom

abc: 4.1228 4.1228 4.1228
angles: 90.00 90.00 90.00
Closest atoms and distances in Å follow each position.
Fractional coordinates of all 5 atoms:
I 0.0000 0.0000 0.0000  6 C 2.06
C 0.0000 0.5000 0.0000  2 I 2.06
C 0.0000 0.0000 0.5000  2 I 2.06
C 0.5000 0.0000 0.0000  2 I 2.06
Sc 0.5000 0.5000 0.5000  12 C 2.92

A plane-wave DFT calculation with PBE was carried out for crystalline ScC3I at its relaxed geometry.

excess energy over the best structure of this formula in the dataset: 0.00 kcal/mol of atoms
space-group type: No. 221
formation energy from raw total energies: 2.563 eV/atom
D(E_F): 0.744 states/eV/atom

abc: 4.4055 4.4055 4.4055
angles: 90.00 90.00 90.00
Closest atoms and distances in Å follow each position.
Fractional coordinates of all 5 atoms:
C 0.0000 0.0000 0.5000  2 Sc 2.20
C 0.0000 0.5000 0.0000  2 Sc 2.20
C 0.5000 0.0000 0.0000  2 Sc 2.20
I 0.5000 0.5000 0.5000  12 C 3.12
Sc 0.0000 0.0000 0.0000  6 C 2.20

A plane-wave DFT calculation with PBE was carried out for crystalline ScCI3 at its relaxed geometry.

excess energy over the best structure of this formula in the dataset: 0.00 kcal/mol of atoms
space-group type: No. 221
formation energy from raw total energies: 0.706 eV/atom
D(E_F): 2.309 states/eV/atom

abc: 5.7376 5.7376 5.7376
angles: 90.00 90.00 90.00
Closest atoms and distances in Å follow each position.
Fractional coordinates of all 5 atoms:
I 0.0000 0.0000 0.5000  2 Sc 2.87
I 0.0000 0.5000 0.0000  2 Sc 2.87
I 0.5000 0.0000 0.0000  2 Sc 2.87
Sc 0.0000 0.0000 0.0000  6 I 2.87
C 0.5000 0.5000 0.5000  12 I 4.06